[1]
A relaxed CsBeMo3 crystal, computed with PBE.

## Properties
The value obtained for the offset from the most stable computed form is 0.0 meV/atom. The density of states at the Fermi level comes out at 1.553 states/eV/atom. Its formation energy is 1873 meV per atom. The magnetization is 0.000 μB/atom.

Unit cell a=4.515 b=4.515 c=4.515 alpha=90.00 beta=90.00 gamma=90.00
Positions (direct):
Cs  0.000  0.000  0.000
Be  0.500  0.500  0.500
Mo  0.000  0.500  0.500
Mo  0.500  0.000  0.500
Mo  0.500  0.500  0.000

=====

[2]
A relaxed LiNpTe2S6 crystal, computed with PBE.

## Properties
As for the formation energy without anion corrections: -0.455 eV/atom. The density of states at the Fermi level comes out at 0.981 states/eV/atom. The magnetization is 0.226 μB/atom.

Unit cell a=6.784 b=7.056 c=7.081 alpha=92.98 beta=116.09 gamma=113.70
Positions (direct):
Li  0.000  0.000  0.000
Np  0.063  0.529  0.581
Te  0.431  0.728  0.090
Te  0.742  0.363  0.030
S  0.119  0.721  0.263
S  0.239  0.920  0.845
S  0.558  0.657  0.818
S  0.601  0.438  0.306
S  0.892  0.255  0.771
S  0.962  0.199  0.290

=====

[3]
A relaxed Mn2TlCu crystal, computed with PBE.

## Properties
The density of states at the Fermi level comes out at 0.710 states/eV/atom. Its formation energy is 445 meV per atom. The magnetization is 1.815 μB/atom.

Unit cell a=10.084 b=3.195 c=4.496 alpha=90.00 beta=115.29 gamma=90.00
Positions (direct):
Mn  0.000  0.000  0.000
Mn  0.244  0.000  0.757
Mn  0.500  0.500  0.000
Mn  0.744  0.500  0.757
Tl  0.272  0.500  0.282
Tl  0.772  0.000  0.282
Cu  0.018  0.500  0.520
Cu  0.518  0.000  0.520